Tl2TePt, optimized geometry, DFT GGA-PBEsol; E = -4.064 eV/atom; D(E_F) = 0.62 states/eV/cell; crystal system = trigonal
1.0
2.248 1.298 6.277
-2.248 1.298 6.277
0.000 -2.596 6.277
Tl Te Pt
2 1 1
direct
0.000 0.000 0.000
0.217 0.217 0.217
0.773 0.773 0.773
0.456 0.456 0.456